{"formula": "Ir4Rh", "functional": "GGA-PBE", "state": "optimized geometry", "lattice_angstrom": [[-1.808, 1.808, 6.214], [1.808, -1.808, 6.214], [1.808, 1.808, -6.214]], "species": ["Ir", "Ir", "Ir", "Ir", "Rh"], "frac_coords": [[0.597, 0.597, 0.000], [0.403, 0.403, 0.000], [0.250, 0.750, 0.500], [0.750, 0.250, 0.500], [0.000, 0.000, 0.000]], "e_tot_ev_per_atom": -8.072, "sg": "I4/mmm (139)", "formation_enthalpy_0k_ev_per_fu": 2.4, "magnetic_moment_mub_per_cell": 0.00, "polymorph_energy_kcal_per_mol_atoms": 11.51}

=====

{"formula": "YMnCl2", "functional": "GGA-PBE", "state": "optimized geometry", "lattice_angstrom": [[3.408, 0.000, 0.000], [0.000, 5.839, 0.000], [0.000, 0.000, 4.371]], "species": ["Cl", "Cl", "Y", "Mn"], "frac_coords": [[0.500, 0.500, 0.000], [0.000, 0.000, 0.000], [0.000, 0.500, 0.500], [0.500, 0.000, 0.500]], "e_tot_ev_per_atom": -5.478, "sg": "Pmmm (47)", "magnetic_moment_mub_per_cell": 4.11, "polymorph_energy_kcal_per_mol_atoms": 7.16}

=====

{"formula": "TiInReAu2", "functional": "GGA-PBE", "state": "optimized geometry", "lattice_angstrom": [[5.001, 0.000, 0.000], [0.000, 5.043, 0.000], [0.000, 0.000, 5.001]], "species": ["In", "Re", "Au", "Au", "Ti"], "frac_coords": [[0.000, 0.500, 0.000], [0.000, 0.000, 0.000], [0.500, 0.000, 0.000], [0.000, 0.000, 0.500], [0.500, 0.500, 0.500]], "e_tot_ev_per_atom": -4.667, "sg": "P4/mmm (123)", "formation_enthalpy_0k_ev_per_fu": 6.3, "magnetic_moment_mub_per_cell": 0.17}

=====

{"formula": "Dy3Mn2Fe7", "functional": "GGA-PBE", "state": "optimized geometry", "lattice_angstrom": [[4.827, 0.000, 1.511], [2.177, 4.308, 1.511], [-0.039, -0.024, 8.589]], "species": ["Fe", "Fe", "Fe", "Fe", "Fe", "Fe", "Fe", "Mn", "Mn", "Dy", "Dy", "Dy"], "frac_coords": [[0.581, 0.581, 0.757], [0.419, 0.419, 0.243], [0.919, 0.419, 0.243], [0.081, 0.581, 0.757], [0.500, 0.500, 0.500], [0.581, 0.081, 0.757], [0.419, 0.919, 0.243], [0.667, 0.667, 0.998], [0.333, 0.333, 0.002], [0.859, 0.859, 0.424], [0.141, 0.141, 0.576], [0.000, 0.000, 0.000]], "e_tot_ev_per_atom": -7.634, "sg": "R-3m (166)", "formation_enthalpy_0k_ev_per_fu": -0.2, "magnetic_moment_mub_per_cell": 14.81}

=====

{"formula": "Cd2InPt9", "functional": "GGA-PBE", "state": "optimized geometry", "lattice_angstrom": [[4.047, 0.000, 0.000], [0.000, 4.047, 0.000], [0.000, 0.000, 12.104]], "species": ["Pt", "Pt", "Pt", "Pt", "Pt", "Pt", "Pt", "Pt", "Pt", "Cd", "Cd", "In"], "frac_coords": [[0.500, 0.500, 0.000], [0.500, 0.000, 0.166], [0.000, 0.500, 0.500], [0.500, 0.000, 0.500], [0.500, 0.500, 0.667], [0.500, 0.000, 0.834], [0.000, 0.500, 0.166], [0.000, 0.500, 0.834], [0.500, 0.500, 0.333], [0.000, 0.000, 0.334], [0.000, 0.000, 0.666], [0.000, 0.000, 0.000]], "e_tot_ev_per_atom": -5.157, "sg": "P4/mmm (123)", "formation_enthalpy_0k_ev_per_fu": -3.0, "magnetic_moment_mub_per_cell": 0.00}

=====

{"formula": "La2GeBiRu", "functional": "GGA-PBE", "state": "optimized geometry", "lattice_angstrom": [[-1.353, -0.960, 5.275], [5.076, -1.982, 0.942], [1.487, 4.368, 1.176]], "species": ["Ge", "Bi", "La", "La", "Ru"], "frac_coords": [[0.000, 0.000, 0.500], [0.500, 0.500, 0.500], [0.000, 0.500, 0.000], [0.500, 0.000, 0.000], [0.000, 0.000, 0.000]], "e_tot_ev_per_atom": -6.160, "sg": "P4/mmm (123)", "formation_enthalpy_0k_ev_per_fu": -3.2, "magnetic_moment_mub_per_cell": 0.00}

=====

{"formula": "CrAg3Br6", "functional": "GGA-PBE", "state": "optimized geometry", "lattice_angstrom": [[-1.992, 1.509, 6.598], [4.980, -4.233, 2.472], [6.716, 8.155, 0.436]], "species": ["Ag", "Ag", "Ag", "Ag", "Ag", "Ag", "Br", "Br", "Br", "Br", "Br", "Br", "Br", "Br", "Br", "Br", "Br", "Br", "Cr", "Cr"], "frac_coords": [[0.500, 0.500, 0.000], [0.489, 0.967, 0.239], [0.989, 0.533, 0.739], [0.511, 0.033, 0.761], [0.000, 0.000, 0.500], [0.011, 0.467, 0.261], [0.391, 0.587, 0.278], [0.311, 0.831, 0.949], [0.609, 0.413, 0.722], [0.891, 0.913, 0.778], [0.109, 0.087, 0.222], [0.153, 0.305, 0.920], [0.347, 0.805, 0.580], [0.689, 0.169, 0.051], [0.189, 0.331, 0.551], [0.811, 0.669, 0.449], [0.653, 0.195, 0.420], [0.847, 0.695, 0.080], [0.500, 0.500, 0.500], [0.000, 0.000, 0.000]], "e_tot_ev_per_atom": -3.271, "sg": "P2_1/c (14)", "magnetic_moment_mub_per_cell": 5.91}

=====

{"formula": "Ta2CrAs", "functional": "GGA-PBE", "state": "optimized geometry", "lattice_angstrom": [[3.493, 0.000, 0.000], [0.000, 4.247, 0.000], [0.000, 0.000, 4.247]], "species": ["Ta", "Ta", "Cr", "As"], "frac_coords": [[0.000, 0.500, 0.500], [0.000, 0.000, 0.000], [0.500, 0.000, 0.500], [0.500, 0.500, 0.000]], "e_tot_ev_per_atom": -9.468, "sg": "P4/mmm (123)", "formation_enthalpy_0k_ev_per_fu": 0.1, "magnetic_moment_mub_per_cell": 0.63}